Record 1
## ZnSiIrO6 (PBE-GGA)

Data for a relaxed structure of ZnSiIrO6.

Calculated values
formation energy from raw total energies = -1.383 eV per atom
uncorrected energy = -6.42 eV/atom
calculated density = 6.779 g/cm3

a = 4.9372 Å, b = 4.9372 Å, c = 8.8585 Å
α = 90.00°, β = 90.00°, γ = 120.00°
With the nearest neighbours (Å) after each atom.
Atoms (fractional coordinates):
Si1 0.6667 0.3333 0.2500  6 O 1.80
Ir1 0.3333 0.6667 0.2500  6 O 1.95
O1 0.6307 0.9761 0.8619  1 Si 1.80, 1 Ir 1.95
O2 0.3454 0.9761 0.6381  1 Si 1.80, 1 Ir 1.95
O3 0.3693 0.0239 0.1381  1 Si 1.80, 1 Ir 1.95
Ir2 0.6667 0.3333 0.7500  6 O 1.95
O4 0.6307 0.6546 0.6381  1 Si 1.80, 1 Ir 1.95
O5 0.9761 0.6307 0.3619  1 Si 1.80, 1 Ir 1.95
O6 0.6546 0.0239 0.3619  1 Si 1.80, 1 Ir 1.95
O7 0.0239 0.3693 0.6381  1 Si 1.80, 1 Ir 1.95
Zn1 0.0000 0.0000 0.0000  6 O 2.15
Zn2 0.0000 0.0000 0.5000  6 O 2.15
Si2 0.3333 0.6667 0.7500  6 O 1.80
O8 0.6546 0.6307 0.1381  1 Si 1.80, 1 Ir 1.95
O9 0.3693 0.3454 0.3619  1 Si 1.80, 1 Ir 1.95
O10 0.3454 0.3693 0.8619  1 Si 1.80, 1 Ir 1.95
O11 0.0239 0.6546 0.8619  1 Si 1.80, 1 Ir 1.95
O12 0.9761 0.3454 0.1381  1 Si 1.80, 1 Ir 1.95

Record 2
## Sm5Ir2O12 (PBE-GGA)

Data for a relaxed structure of Sm5Ir2O12.

Calculated values
formation energy from raw total energies = -2.561 eV per atom
uncorrected energy = -7.87 eV/atom
calculated density = 8.054 g/cm3

a = 6.1358 Å, b = 7.0118 Å, c = 7.4041 Å
α = 105.28°, β = 90.00°, γ = 115.95°
With the nearest neighbours (Å) after each atom.
Atoms (fractional coordinates):
O1 0.5690 0.6702 0.9159  1 Ir 1.99
O2 0.4993 0.9985 0.1777  2 Ir 2.04
Ir1 0.2471 0.0000 0.0000  6 O 1.97-2.04
Ir2 0.7529 0.0000 0.0000  6 O 1.97-2.04
Sm1 0.0000 0.0000 0.5000  6 O 2.38-2.44
Sm2 0.3054 0.6108 0.1652  7 O 2.35-2.45
O3 0.4000 0.3039 0.5743  4 Sm 2.36-2.41
O4 0.8987 0.3298 0.0841  1 Ir 1.99
O5 0.9995 0.9990 0.1706  2 Ir 1.97
O6 0.5007 0.0015 0.8223  2 Ir 2.04
O7 0.0005 0.0010 0.8294  2 Ir 1.97
O8 0.1013 0.6702 0.9159  1 Ir 1.99
Sm3 0.6946 0.3892 0.8348  7 O 2.35-2.45
O9 0.4310 0.3298 0.0841  1 Ir 1.99
Sm4 0.6981 0.3962 0.3595  7 O 2.36-2.47
O10 0.9039 0.3039 0.5743  4 Sm 2.36-2.41
Sm5 0.3019 0.6038 0.6405  7 O 2.36-2.47
O11 0.0961 0.6961 0.4257  4 Sm 2.36-2.41
O12 0.6000 0.6961 0.4257  4 Sm 2.36-2.41

Record 3
## SmIrO6 (PBE-GGA)

Data for a relaxed structure of SmIrO6.

Calculated values
formation energy from raw total energies = -1.128 eV per atom
uncorrected energy = -6.54 eV/atom
calculated density = 7.728 g/cm3

a = 4.5615 Å, b = 4.5615 Å, c = 4.6508 Å
α = 82.90°, β = 82.90°, γ = 97.55°
With the nearest neighbours (Å) after each atom.
Atoms (fractional coordinates):
Ir1 0.0000 0.0000 0.0000  6 O 1.87-1.88
O1 0.2923 0.9125 0.7153  1 Ir 1.88
O2 0.2872 0.2872 0.0984  1 Ir 1.87
O3 0.7077 0.0875 0.2847  1 Ir 1.88
O4 0.9125 0.2923 0.7153  1 Ir 1.88
O5 0.0875 0.7077 0.2847  1 Ir 1.88
Sm1 0.5000 0.5000 0.5000  10 O 2.45-2.74
O6 0.7128 0.7128 0.9016  1 Ir 1.87

Record 4
## Sm3IrO6 (PBE-GGA)

Data for a relaxed structure of Sm3IrO6.

Calculated values
formation energy from raw total energies = -2.534 eV per atom
uncorrected energy = -7.81 eV/atom
calculated density = 8.183 g/cm3

a = 5.8200 Å, b = 7.2698 Å, c = 7.2698 Å
α = 102.71°, β = 90.00°, γ = 90.00°
With the nearest neighbours (Å) after each atom.
Atoms (fractional coordinates):
O1 0.1965 0.3577 0.3256  4 Sm 2.27-2.37
O2 0.6965 0.6423 0.6744  4 Sm 2.27-2.37
Sm1 0.9654 0.6954 0.9058  6 O 2.27-2.48
O3 0.2091 0.4119 0.8891  1 Ir 2.06
O4 0.1965 0.6744 0.6423  4 Sm 2.27-2.37
O5 0.1551 0.7872 0.2128  1 Ir 1.86
O6 0.1974 0.0550 0.9450  1 Ir 2.09
O7 0.6551 0.2128 0.7872  1 Ir 1.86
Sm2 0.4171 0.4006 0.5994  7 O 2.33-2.54
O8 0.2091 0.1109 0.5881  1 Ir 2.06
O9 0.7091 0.8891 0.4119  1 Ir 2.06
O10 0.6965 0.3256 0.3577  4 Sm 2.27-2.37
Ir1 0.9737 0.1994 0.8006  3 O 1.86-2.06
Sm3 0.4654 0.3046 0.0942  6 O 2.27-2.48
O11 0.7091 0.5881 0.1109  1 Ir 2.06
Ir2 0.4737 0.8006 0.1994  3 O 1.86-2.06
Sm4 0.9171 0.5994 0.4006  7 O 2.33-2.54
Sm5 0.4654 0.9058 0.6954  6 O 2.27-2.48
Sm6 0.9654 0.0942 0.3046  6 O 2.27-2.48
O12 0.6974 0.9450 0.0550  1 Ir 2.09

Record 5
## Sm2Ir2O7 (PBE-GGA)

Data for a relaxed structure of Sm2Ir2O7.

Calculated values
formation energy from raw total energies = -2.018 eV per atom
uncorrected energy = -7.64 eV/atom
calculated density = 9.453 g/cm3

a = 7.3438 Å, b = 7.3438 Å, c = 7.3438 Å
α = 60.00°, β = 60.00°, γ = 60.00°
With the nearest neighbours (Å) after each atom.
Atoms (fractional coordinates):
O1 0.2090 0.7910 0.2090  2 Ir 2.03
O2 0.7910 0.2090 0.7910  2 Ir 2.03
O3 0.5000 0.5000 0.5000  4 Sm 2.25
Ir1 0.1250 0.1250 0.1250  6 O 2.03
O4 0.0410 0.4590 0.0410  2 Ir 2.03
Sm1 0.1250 0.6250 0.6250  2 O 2.25
O5 0.2090 0.7910 0.7910  2 Ir 2.03
Ir2 0.1250 0.1250 0.6250  6 O 2.03
O6 0.2090 0.2090 0.7910  2 Ir 2.03
Ir3 0.6250 0.1250 0.1250  6 O 2.03
O7 0.4590 0.4590 0.0410  2 Ir 2.03
Ir4 0.1250 0.6250 0.1250  6 O 2.03
O8 0.0410 0.0410 0.4590  2 Ir 2.03
O9 0.7910 0.7910 0.2090  2 Ir 2.03
Sm2 0.6250 0.6250 0.6250  2 O 2.25
O10 0.4590 0.0410 0.4590  2 Ir 2.03
O11 0.0410 0.4590 0.4590  2 Ir 2.03
O12 0.7500 0.7500 0.7500  4 Sm 2.25
O13 0.4590 0.0410 0.0410  2 Ir 2.03
O14 0.7910 0.2090 0.2090  2 Ir 2.03
Sm3 0.6250 0.1250 0.6250  2 O 2.25
Sm4 0.6250 0.6250 0.1250  2 O 2.25

Record 6
## Sm6IrO12 (PBE-GGA)

Data for a relaxed structure of Sm6IrO12.

Calculated values
formation energy from raw total energies = -2.886 eV per atom
uncorrected energy = -7.97 eV/atom
calculated density = 7.582 g/cm3

a = 6.6386 Å, b = 6.6386 Å, c = 6.6386 Å
α = 98.55°, β = 98.55°, γ = 98.55°
With the nearest neighbours (Å) after each atom.
Atoms (fractional coordinates):
O1 0.9662 0.2926 0.0680  1 Ir 1.98
Ir1 0.0000 0.0000 0.0000  6 O 1.98
O2 0.4382 0.5924 0.1775  4 Sm 2.27-2.35
Sm1 0.1444 0.6115 0.3108  6 O 2.27-2.50
O3 0.2926 0.0680 0.9662  1 Ir 1.98
O4 0.8225 0.5618 0.4076  4 Sm 2.27-2.35
O5 0.0680 0.9662 0.2926  1 Ir 1.98
O6 0.5924 0.1775 0.4382  4 Sm 2.27-2.35
O7 0.9320 0.0338 0.7074  1 Ir 1.98
Sm2 0.3108 0.1444 0.6115  6 O 2.27-2.50
O8 0.7074 0.9320 0.0338  1 Ir 1.98
O9 0.1775 0.4382 0.5924  4 Sm 2.27-2.35
O10 0.5618 0.4076 0.8225  4 Sm 2.27-2.35
Sm3 0.6892 0.8556 0.3885  6 O 2.27-2.50
O11 0.4076 0.8225 0.5618  4 Sm 2.27-2.35
Sm4 0.3885 0.6892 0.8556  6 O 2.27-2.50
Sm5 0.6115 0.3108 0.1444  6 O 2.27-2.50
Sm6 0.8556 0.3885 0.6892  6 O 2.27-2.50
O12 0.0338 0.7074 0.9320  1 Ir 1.98

Record 7
## Sm12Ir3O5 (PBE-GGA)

Data for a relaxed structure of Sm12Ir3O5.

Calculated values
formation energy from raw total energies = -1.594 eV per atom
uncorrected energy = -6.99 eV/atom
calculated density = 8.774 g/cm3

a = 13.4262 Å, b = 13.4262 Å, c = 13.4262 Å
α = 109.47°, β = 109.47°, γ = 109.47°
With the nearest neighbours (Å) after each atom.
Atoms (fractional coordinates):
Sm1 0.0951 0.1837 0.4756  1 O 2.27
Sm2 0.7081 0.5885 0.1837  1 O 2.27
Ir1 0.2500 0.6250 0.8750  8 Sm 3.00-3.07
Sm3 0.2081 0.5244 0.6195  1 O 2.27
Sm4 0.7919 0.4756 0.3805  1 O 2.27
Sm5 0.9756 0.3805 0.2919  1 O 2.27
Ir2 0.8750 0.1250 0.2500  8 Sm 3.00-3.07
Sm6 0.0951 0.9115 0.1195  1 O 2.27
Ir3 0.3750 0.6250 0.2500  8 Sm 3.00-3.07
O1 0.0000 0.5000 0.0000  6 Sm 2.56
Sm7 0.9049 0.8163 0.5244  1 O 2.27
Ir4 0.1250 0.2500 0.8750  8 Sm 3.00-3.07
O2 0.0000 0.0000 0.0000  6 Sm 2.56
Sm8 0.6837 0.4756 0.5951  1 O 2.27
Sm9 0.4756 0.7919 0.8805  1 O 2.27
O3 0.0000 0.0000 0.5000  6 Sm 2.56
Sm10 0.0885 0.9049 0.3805  1 O 2.27
Sm11 0.7919 0.3163 0.9115  1 O 2.27
Sm12 0.4756 0.6837 0.0951  1 O 2.27
O4 0.1250 0.7500 0.3750  4 Sm 2.27
Sm13 0.7081 0.1195 0.0244  1 O 2.27
Sm14 0.1195 0.4115 0.0951  1 O 2.27
Ir5 0.3750 0.7500 0.6250  8 Sm 3.00-3.07
O5 0.5000 0.0000 0.0000  6 Sm 2.56
Sm15 0.3163 0.5244 0.4049  1 O 2.27
Sm16 0.4049 0.3805 0.5885  1 O 2.27
Sm17 0.9115 0.8163 0.7919  1 O 2.27
Sm18 0.5951 0.6195 0.4115  1 O 2.27
Sm19 0.6837 0.2081 0.5885  1 O 2.27
O6 0.0000 0.5000 0.5000  6 Sm 2.56
Sm20 0.2081 0.6837 0.0885  1 O 2.27
O7 0.8750 0.6250 0.7500  4 Sm 2.27
Sm21 0.1837 0.0885 0.7081  1 O 2.27
Sm22 0.5244 0.2081 0.1195  1 O 2.27
Sm23 0.6195 0.5951 0.9115  1 O 2.27
Sm24 0.0885 0.1837 0.2081  1 O 2.27
Ir6 0.7500 0.8750 0.6250  8 Sm 3.00-3.07
Ir7 0.6250 0.2500 0.3750  8 Sm 3.00-3.07
O8 0.5000 0.5000 0.5000  6 Sm 2.56
Sm25 0.2919 0.8805 0.9756  1 O 2.27
Sm26 0.2919 0.4115 0.8163  1 O 2.27
Sm27 0.8805 0.5885 0.9049  1 O 2.27
Ir8 0.2500 0.1250 0.3750  8 Sm 3.00-3.07
Sm28 0.3805 0.4049 0.0885  1 O 2.27
Sm29 0.1195 0.7081 0.5244  1 O 2.27
O9 0.2500 0.8750 0.1250  4 Sm 2.27
Sm30 0.5951 0.9756 0.6837  1 O 2.27
Sm31 0.9049 0.0885 0.8805  1 O 2.27
Sm32 0.1837 0.0951 0.9756  1 O 2.27
Sm33 0.4115 0.2919 0.3163  1 O 2.27
Sm34 0.3805 0.9756 0.7919  1 O 2.27
Sm35 0.6195 0.0244 0.2081  1 O 2.27
O10 0.5000 0.0000 0.5000  6 Sm 2.56
Sm36 0.4049 0.0244 0.3163  1 O 2.27
O11 0.7500 0.1250 0.8750  4 Sm 2.27
O12 0.2500 0.3750 0.6250  4 Sm 2.27
Sm37 0.5244 0.3163 0.9049  1 O 2.27
Sm38 0.9115 0.0951 0.6195  1 O 2.27
Sm39 0.8163 0.9049 0.0244  1 O 2.27
Ir9 0.6250 0.3750 0.7500  8 Sm 3.00-3.07
Ir10 0.1250 0.8750 0.7500  8 Sm 3.00-3.07
O13 0.3750 0.2500 0.1250  4 Sm 2.27
Sm40 0.3163 0.7919 0.4115  1 O 2.27
Sm41 0.4115 0.1195 0.5951  1 O 2.27
Ir11 0.8750 0.7500 0.1250  8 Sm 3.00-3.07
Sm42 0.0244 0.4049 0.8163  1 O 2.27
Sm43 0.0244 0.6195 0.7081  1 O 2.27
Sm44 0.5885 0.8805 0.4049  1 O 2.27
O14 0.6250 0.7500 0.8750  4 Sm 2.27
Sm45 0.9756 0.5951 0.1837  1 O 2.27
O15 0.6250 0.8750 0.2500  4 Sm 2.27
Ir12 0.7500 0.3750 0.1250  8 Sm 3.00-3.07
O16 0.7500 0.6250 0.3750  4 Sm 2.27
O17 0.3750 0.1250 0.7500  4 Sm 2.27
Sm46 0.5885 0.7081 0.6837  1 O 2.27
Sm47 0.8163 0.9115 0.2919  1 O 2.27
Sm48 0.8805 0.2919 0.4756  1 O 2.27
O18 0.8750 0.2500 0.6250  4 Sm 2.27
O19 0.1250 0.3750 0.2500  4 Sm 2.27
O20 0.5000 0.5000 0.0000  6 Sm 2.56

Record 8
## Sm4Ir6O19 (PBE-GGA)

Data for a relaxed structure of Sm4Ir6O19.

Calculated values
formation energy from raw total energies = -1.625 eV per atom
uncorrected energy = -7.36 eV/atom
calculated density = 9.105 g/cm3

a = 7.8716 Å, b = 7.8716 Å, c = 7.8716 Å
α = 109.47°, β = 109.47°, γ = 109.47°
With the nearest neighbours (Å) after each atom.
Atoms (fractional coordinates):
O1 0.6676 0.0000 0.6676  2 Ir 2.08
Ir1 0.8437 0.3437 0.5000  6 O 1.96-2.08
O2 0.6711 0.2825 0.9576  2 Ir 1.96
O3 0.0000 0.0000 0.0000  4 Sm 2.36
O4 0.7175 0.3886 0.6751  2 Ir 1.96
Ir2 0.5000 0.8437 0.3437  6 O 1.96-2.08
O5 0.3289 0.2866 0.6114  2 Ir 1.96
Sm1 0.0000 0.0000 0.7006  7 O 2.36-2.54
O6 0.6676 0.6676 0.0000  2 Ir 2.08
O7 0.0000 0.6676 0.6676  2 Ir 2.08
O8 0.2825 0.9576 0.6711  2 Ir 1.96
O9 0.6114 0.3289 0.2866  2 Ir 1.96
O10 0.6751 0.7175 0.3886  2 Ir 1.96
Ir3 0.1563 0.6563 0.5000  6 O 1.96-2.08
O11 0.7134 0.0424 0.3249  2 Ir 1.96
O12 0.3324 0.3324 0.0000  2 Ir 2.08
Ir4 0.5000 0.1563 0.6563  6 O 1.96-2.08
O13 0.9576 0.6711 0.2825  2 Ir 1.96
O14 0.3324 0.0000 0.3324  2 Ir 2.08
O15 0.3886 0.6751 0.7175  2 Ir 1.96
O16 0.0424 0.3249 0.7134  2 Ir 1.96
Sm2 0.7006 0.0000 0.0000  7 O 2.36-2.54
O17 0.0000 0.3324 0.3324  2 Ir 2.08
O18 0.3249 0.7134 0.0424  2 Ir 1.96
Sm3 0.2994 0.2994 0.2994  7 O 2.36-2.54
O19 0.2866 0.6114 0.3289  2 Ir 1.96
Ir5 0.6563 0.5000 0.1563  6 O 1.96-2.08
Ir6 0.3437 0.5000 0.8437  6 O 1.96-2.08
Sm4 0.0000 0.7006 0.0000  7 O 2.36-2.54

Record 9
## SmIrO5 (PBE-GGA)

Data for a relaxed structure of SmIrO5.

Calculated values
formation energy from raw total energies = -1.512 eV per atom
uncorrected energy = -6.99 eV/atom
calculated density = 6.751 g/cm3

a = 5.6399 Å, b = 5.6399 Å, c = 7.7804 Å
α = 95.35°, β = 113.67°, γ = 108.51°
With the nearest neighbours (Å) after each atom.
Atoms (fractional coordinates):
O1 0.7537 0.6939 0.0316  1 Ir 1.95
O2 0.8378 0.2779 0.5316  1 Ir 1.95
Sm1 0.7062 0.4562 0.2500  7 O 2.31-2.44
O3 0.5867 0.7646 0.3879  1 Ir 1.82
O4 0.1232 0.8012 0.8879  1 Ir 1.82
O5 0.8768 0.1988 0.1121  1 Ir 1.82
Sm2 0.2938 0.5438 0.7500  7 O 2.31-2.44
O6 0.6570 0.9070 0.7500  2 Ir 1.99
Ir1 0.0000 0.0000 0.0000  6 O 1.82-1.99
O7 0.3430 0.0930 0.2500  2 Ir 1.99
O8 0.2463 0.3061 0.9684  1 Ir 1.95
O9 0.1622 0.7221 0.4684  1 Ir 1.95
O10 0.4133 0.2354 0.6121  1 Ir 1.82
Ir2 0.5000 0.0000 0.5000  6 O 1.82-1.99

Record 10
## SmIrO (PBE-GGA)

Data for a relaxed structure of SmIrO.

Calculated values
formation energy from raw total energies = -1.737 eV per atom
uncorrected energy = -7.92 eV/atom
calculated density = 11.647 g/cm3

a = 3.4634 Å, b = 3.4634 Å, c = 10.8889 Å
α = 116.27°, β = 116.27°, γ = 89.30°
With the nearest neighbours (Å) after each atom.
Atoms (fractional coordinates):
O1 0.3994 0.3994 0.1074  5 Sm 2.37-2.58
Sm1 0.0257 0.0257 0.8289  5 O 2.37-2.58
Ir1 0.7073 0.7073 0.4679  4 Ir 2.49-2.54
Ir2 0.2927 0.2927 0.5321  4 Ir 2.49-2.54
O2 0.6006 0.6006 0.8926  5 Sm 2.37-2.58
Sm2 0.9743 0.9743 0.1711  5 O 2.37-2.58

Record 11
## Sm4Ir2O (PBE-GGA)

Data for a relaxed structure of Sm4Ir2O.

Calculated values
formation energy from raw total energies = -1.172 eV per atom
uncorrected energy = -7.11 eV/atom
calculated density = 10.287 g/cm3

a = 4.6851 Å, b = 4.6851 Å, c = 8.0781 Å
α = 106.86°, β = 106.86°, γ = 90.00°
With the nearest neighbours (Å) after each atom.
Atoms (fractional coordinates):
O1 0.0000 0.0000 0.0000  4 Sm 2.34
Sm1 0.5000 0.0000 0.0000  2 O 2.34
Sm2 0.8154 0.8154 0.6308  1 O 2.72, 1 Ir 2.74
Ir1 0.6293 0.6293 0.2585  5 Sm 2.74-3.02
Ir2 0.3707 0.3707 0.7415  5 Sm 2.74-3.02
Sm3 0.0000 0.5000 0.0000  2 O 2.34
Sm4 0.1846 0.1846 0.3692  1 O 2.72, 1 Ir 2.74

Record 12
## Sr2SmIr3O12 (PBE-GGA)

Data for a relaxed structure of Sr2SmIr3O12.

Calculated values
formation energy from raw total energies = -1.522 eV per atom
uncorrected energy = -6.75 eV/atom
calculated density = 7.543 g/cm3

a = 6.7094 Å, b = 6.7094 Å, c = 6.7094 Å
α = 65.91°, β = 65.91°, γ = 65.91°
With the nearest neighbours (Å) after each atom.
Atoms (fractional coordinates):
Sr1 0.6116 0.6116 0.6116  3 O 2.44
O1 0.7138 0.7138 0.1311  2 Ir 1.98
O2 0.2862 0.8689 0.2862  2 Ir 1.98
O3 0.4208 0.8599 0.8599  1 Ir 1.89
O4 0.1311 0.7138 0.7138  2 Ir 1.98
Ir1 0.5000 0.0000 0.0000  6 O 1.89-1.98
Ir2 0.0000 0.0000 0.5000  6 O 1.89-1.98
O5 0.1401 0.1401 0.5792  1 Ir 1.89
O6 0.2862 0.2862 0.8689  2 Ir 1.98
O7 0.7138 0.1311 0.7138  2 Ir 1.98
O8 0.8599 0.8599 0.4208  1 Ir 1.89
O9 0.1401 0.5792 0.1401  1 Ir 1.89
Ir3 0.0000 0.5000 0.0000  6 O 1.89-1.98
Sm1 0.0000 0.0000 0.0000  6 O 2.48
Sr2 0.3884 0.3884 0.3884  3 O 2.44
O10 0.5792 0.1401 0.1401  1 Ir 1.89
O11 0.8689 0.2862 0.2862  2 Ir 1.98
O12 0.8599 0.4208 0.8599  1 Ir 1.89